Computed, not measured: a relaxed PdSe2O crystal at the PBE level of DFT.

Total magnetization ... 0.0 μB per formula unit
VASP energy ... -4.133 eV/atom
Theoretical density ... 6.12 Mg/m³

a b c (Å): 4.942 4.942 12.454
angles (deg): 90.00 90.00 90.00
Space group I-42d (No. 122)
One atom of each set of equivalent atoms:
Pd 0.000 0.000 0.000
Se 0.200 0.250 0.625
O 0.000 0.000 0.500

=====

Computed, not measured: a relaxed Sm4SeS2N crystal at the PBE level of DFT.

Total magnetization ... 0.0 μB per formula unit
VASP energy ... -6.318 eV/atom
Theoretical density ... 6.25 Mg/m³

a b c (Å): 7.248 7.248 7.673
angles (deg): 90.00 90.00 90.00
Space group I-42m (No. 121)
One atom of each set of equivalent atoms:
Sm 0.184 0.184 0.332
Se 0.000 0.000 0.000
S 0.000 0.500 0.250
N 0.000 0.000 0.500

=====

Computed, not measured: a relaxed NaLiEuTl crystal at the PBE level of DFT.

Formation energy from the elements ... -117 meV/atom
Total magnetization ... 7.8 μB per formula unit
VASP energy ... -4.085 eV/atom
Theoretical density ... 5.63 Mg/m³

a b c (Å): 7.696 7.696 7.696
angles (deg): 90.00 90.00 90.00
Space group F-43m (No. 216)
One atom of each set of equivalent atoms:
Na 0.000 0.000 0.000
Li 0.250 0.250 0.750
Eu 0.250 0.250 0.250
Tl 0.000 0.000 0.500

=====

Computed, not measured: a relaxed Tc2SnBr crystal at the PBE level of DFT.

ΔE to the lowest computed polymorph ... 0 kJ/mol of formula units
Total magnetization ... 0.0 μB per formula unit
VASP energy ... -5.831 eV/atom
Theoretical density ... 9.51 Mg/m³

a b c (Å): 6.507 6.507 6.507
angles (deg): 90.00 90.00 90.00
Space group Fm-3m (No. 225)
One atom of each set of equivalent atoms:
Tc 0.250 0.250 0.250
Sn 0.000 0.000 0.000
Br 0.000 0.000 0.500

=====

Computed, not measured: a relaxed Pr6P2S3N crystal at the PBE level of DFT.

Total magnetization ... 0.0 μB per formula unit
VASP energy ... -6.762 eV/atom
Theoretical density ... 5.85 Mg/m³

a b c (Å): 17.887 4.051 8.229
angles (deg): 90.00 104.19 90.00
Space group C2/m (No. 12)
One atom of each set of equivalent atoms:
Pr 0.000 0.000 0.220
Pr 0.151 0.500 0.078
Pr 0.167 0.500 0.581
P 0.165 0.000 0.331
S 0.000 0.500 0.500
S 0.169 0.000 0.836
N 0.000 0.500 0.000

=====

Computed, not measured: a relaxed CaRhSe2 crystal at the PBE level of DFT.

ΔE to the lowest computed polymorph ... 52 kJ/mol of formula units
Total magnetization ... 0.0 μB per formula unit
VASP energy ... -4.857 eV/atom
Theoretical density ... 5.67 Mg/m³

a b c (Å): 11.269 3.777 4.137
angles (deg): 90.00 90.20 90.00
Space group Cm (No. 8)
One atom of each set of equivalent atoms:
Ca 0.000 0.000 0.000
Rh 0.260 0.500 0.458
Se 0.044 0.500 0.503
Se 0.274 0.000 0.063

=====

Computed, not measured: a relaxed BaLiCl2 crystal at the PBE level of DFT.

ΔE to the lowest computed polymorph ... 3 kJ/mol of formula units
Total magnetization ... 0.6 μB per formula unit
VASP energy ... -3.601 eV/atom
Theoretical density ... 3.51 Mg/m³

a b c (Å): 3.9467 3.9467 22.6170
angles (deg): 90.00 90.00 120.00
Space group R-3m (No. 166, hexagonal axes)
One atom of each set of equivalent atoms:
Ba 0.0000 0.0000 0.0000
Li 0.0000 0.0000 0.5000
Cl 0.0000 0.0000 0.2288

=====

Computed, not measured: a relaxed Ba4Tl3Pb4 crystal at the PBE level of DFT.

Formation energy from the elements ... -386 meV/atom
Total magnetization ... 0.0 μB per formula unit
VASP energy ... -3.079 eV/atom
Theoretical density ... 7.66 Mg/m³

a b c (Å): 4.926 4.974 17.793
angles (deg): 97.95 90.38 90.02
Space group P-1 (No. 2)
One atom of each set of equivalent atoms:
Ba 0.001 0.182 0.362
Ba 0.019 0.562 0.120
Tl 0.443 0.647 0.290
Tl 0.500 0.000 0.000
Pb 0.367 0.269 0.538
Pb 0.464 0.902 0.809

=====

Copy entry 5 word for word.
Computed, not measured: a relaxed Pr6P2S3N crystal at the PBE level of DFT.

Total magnetization ... 0.0 μB per formula unit
VASP energy ... -6.762 eV/atom
Theoretical density ... 5.85 Mg/m³

a b c (Å): 17.887 4.051 8.229
angles (deg): 90.00 104.19 90.00
Space group C2/m (No. 12)
One atom of each set of equivalent atoms:
Pr 0.000 0.000 0.220
Pr 0.151 0.500 0.078
Pr 0.167 0.500 0.581
P 0.165 0.000 0.331
S 0.000 0.500 0.500
S 0.169 0.000 0.836
N 0.000 0.500 0.000

=====

> The lowest VASP energy belongs to which entry?

Pr6P2S3N

=====

> The lowest theoretical density belongs to which entry?

BaLiCl2

=====

> Which value of total magnetization does entry 8 give?

0.0 μB per formula unit